[1]
An optimized crystal structure of AlP2IrO, computed with GGA-PBE.

## Properties
As for the energy: -5.429 eV/atom. The calculation puts the energy above the lowest structure with this stoichiometry at 0.121 eV per atom. Its density is 5.70 g cm⁻³. The calculation puts the raw formation energy at 0.2474 eV per atom. As for the crystal system: tetragonal.

Unit cell a=4.853 b=4.853 c=3.677 alpha=90.00 beta=90.00 gamma=90.00
Space group P4/mmm (No. 123)
Unique sites:
Al  0.000  0.000  0.000 (multiplicity 1)
P  0.000  0.500  0.500 (multiplicity 2)
Ir  0.500  0.500  0.500 (multiplicity 1)
O  0.500  0.500  0.000 (multiplicity 1)

[2]
An optimized crystal structure of AcLaPr, computed with GGA-PBE.

## Properties
As for the energy: -4.582 eV/atom. The calculation puts the energy above the lowest structure with this stoichiometry at 0.003 eV per atom. Its density is 7.13 g cm⁻³. As for the crystal system: tetragonal. The value obtained for the formation energy is 0.02 eV per atom.

Unit cell a=3.836 b=3.836 c=16.050 alpha=90.00 beta=90.00 gamma=90.00
Space group I4mm (No. 107)
Unique sites:
Ac  0.000  0.000  0.000 (multiplicity 2)
La  0.000  0.000  0.328 (multiplicity 2)
Pr  0.000  0.000  0.669 (multiplicity 2)

[3]
An optimized crystal structure of Tb3Sm6Er, computed with GGA-PBE.

## Properties
As for the energy: -4.532 eV/atom. The calculation puts the energy above the lowest structure with this stoichiometry at 0.021 eV per atom. Its density is 7.71 g cm⁻³. As for the crystal system: orthorhombic. The value obtained for the formation energy is 0.14 eV per atom.

Unit cell a=10.983 b=19.198 c=6.318 alpha=90.00 beta=90.00 gamma=90.00
Space group Cmc2_1 (No. 36)
Unique sites:
Tb  0.000  0.114  0.000 (multiplicity 4)
Tb  0.169  0.387  0.389 (multiplicity 8)
Sm  0.000  0.222  0.571 (multiplicity 4)
Sm  0.000  0.461  0.818 (multiplicity 4)
Sm  0.168  0.044  0.471 (multiplicity 8)
Sm  0.235  0.210  0.286 (multiplicity 8)
Er  0.000  0.302  0.045 (multiplicity 4)